[1]
The following is a DFT calculation (GGA-PBE) of a relaxed MgVCr3S8 crystal.

Lattice parameters (Å, degrees): 6.938 6.938 6.938 61.51 61.51 61.51
Each line ends with the local moment (μB).
Fractional coordinates of all 13 atoms:
S 0.253 0.253 0.741  -0.09
V 0.478 0.478 0.478  0.91
S 0.258 0.258 0.258  -0.09
Cr 0.497 0.497 0.014  2.72
S 0.732 0.732 0.297  -0.09
S 0.253 0.741 0.253  -0.09
S 0.741 0.253 0.253  -0.09
Mg 0.883 0.883 0.883  0.01
Cr 0.497 0.014 0.497  2.72
S 0.741 0.741 0.741  -0.06
S 0.732 0.297 0.732  -0.09
Cr 0.014 0.497 0.497  2.72
S 0.297 0.732 0.732  -0.09

## Properties
**Density of states at the Fermi level**: 0.40 states/eV/cell
**Space group**: R3m
**DFT total energy**: -6.40 eV/atom
**Energy relative to the elements, uncorrected**: -0.81 eV/atom

[2]
The following is a DFT calculation (GGA-PBE) of a relaxed MgV2Cr2S8 crystal.

Lattice parameters (Å, degrees): 7.004 7.004 7.004 120.56 118.74 90.62
Each line ends with the local moment (μB).
Fractional coordinates of all 13 atoms:
Cr 0.264 0.006 0.258  2.73
S 0.995 0.250 0.745  -0.08
S 0.980 0.764 0.217  -0.08
Cr 0.749 0.006 0.742  2.73
S 0.503 0.242 0.739  -0.10
S 0.503 0.763 0.261  -0.10
S 0.987 0.762 0.775  -0.09
S 0.505 0.250 0.255  -0.08
S 0.987 0.211 0.225  -0.09
V 0.734 0.017 0.282  1.31
Mg 0.134 0.634 0.500  0.01
V 0.734 0.452 0.718  1.31
S 0.547 0.764 0.783  -0.08

## Properties
**Density of states at the Fermi level**: 4.92 states/eV/cell
**Space group**: Imm2
**DFT total energy**: -6.40 eV/atom
**Energy relative to the elements, uncorrected**: -0.85 eV/atom

[3]
The following is a DFT calculation (GGA-PBE) of a relaxed Mg2V3CrS8 crystal.

Lattice parameters (Å, degrees): 7.150 7.296 7.149 60.67 59.99 60.65
Each line ends with the local moment (μB).
Fractional coordinates of all 14 atoms:
S 0.285 0.728 0.744  -0.07
V 0.487 0.502 0.487  1.86
Mg 0.868 0.897 0.868  0.01
Mg 0.117 0.149 0.117  0.02
V 0.024 0.502 0.487  1.86
S 0.743 0.728 0.744  -0.07
S 0.271 0.247 0.711  -0.08
S 0.253 0.741 0.253  -0.08
S 0.732 0.305 0.732  -0.07
S 0.271 0.247 0.271  -0.08
S 0.744 0.728 0.285  -0.07
V 0.487 0.502 0.024  1.86
Cr 0.507 0.978 0.507  2.97
S 0.711 0.246 0.271  -0.08

## Properties
**Density of states at the Fermi level**: 4.49 states/eV/cell
**Space group**: R3m
**DFT total energy**: -6.20 eV/atom
**Energy relative to the elements, uncorrected**: -0.98 eV/atom